# Ca2LaMgN, relaxed, DFT GGA-PBE
data_Ca2LaMgN
_cell_length_a 5.164
_cell_length_b 5.164
_cell_length_c 4.965
_cell_angle_alpha 90.00
_cell_angle_beta 90.00
_cell_angle_gamma 90.00
_space_group_name_H-M_alt 'P 4/m m m'
_space_group_IT_number 123
_space_group_name_Hall '-P 4 2'
loop_
_atom_site_label
_atom_site_fract_x
_atom_site_fract_y
_atom_site_fract_z
_atom_site_occupancy
Ca1 0.000 0.500 0.000 1
La1 0.000 0.000 0.500 1
Mg1 0.500 0.500 0.500 1
N1 0.000 0.000 0.000 1
# E ... -21.4 eV/f.u.
# Density of states at the Fermi level ... 0.823 states/eV/atom



# Ca2LaMgNi, relaxed, DFT GGA-PBE
data_Ca2LaMgNi
_cell_length_a 5.564
_cell_length_b 5.564
_cell_length_c 5.287
_cell_angle_alpha 90.00
_cell_angle_beta 90.00
_cell_angle_gamma 90.00
_space_group_name_H-M_alt 'P 4/m m m'
_space_group_IT_number 123
_space_group_name_Hall '-P 4 2'
loop_
_atom_site_label
_atom_site_fract_x
_atom_site_fract_y
_atom_site_fract_z
_atom_site_occupancy
Ca1 0.000 0.500 0.000 1
La1 0.000 0.000 0.500 1
Mg1 0.500 0.500 0.500 1
Ni1 0.000 0.000 0.000 1
# ΔE to the lowest computed polymorph ... 0.0 meV per atom
# Density of states at the Fermi level ... 0.936 states/eV/atom



# Ca2LaMgNi, relaxed, DFT GGA-PBE
data_Ca2LaMgNi
_cell_length_a 5.344
_cell_length_b 5.344
_cell_length_c 5.222
_cell_angle_alpha 90.00
_cell_angle_beta 90.00
_cell_angle_gamma 90.00
_space_group_name_H-M_alt 'P 4/m m m'
_space_group_IT_number 123
_space_group_name_Hall '-P 4 2'
loop_
_atom_site_label
_atom_site_fract_x
_atom_site_fract_y
_atom_site_fract_z
_atom_site_occupancy
Ca1 0.000 0.500 0.000 1
La1 0.000 0.000 0.500 1
Mg1 0.500 0.500 0.500 1
Ni1 0.500 0.500 0.000 1
# ΔE to the lowest computed polymorph ... 120.5 meV per atom
# Density of states at the Fermi level ... 0.834 states/eV/atom



# CaLaMgNi, relaxed, DFT GGA-PBE
data_CaLaMgNi
_cell_length_a 7.413
_cell_length_b 7.413
_cell_length_c 7.413
_cell_angle_alpha 90.00
_cell_angle_beta 90.00
_cell_angle_gamma 90.00
_space_group_name_H-M_alt 'F -4 3 m'
_space_group_IT_number 216
_space_group_name_Hall 'F -4 2 3'
loop_
_atom_site_label
_atom_site_fract_x
_atom_site_fract_y
_atom_site_fract_z
_atom_site_occupancy
Ca1 0.000 0.000 0.000 1
La1 0.000 0.000 0.500 1
Mg1 0.250 0.250 0.250 1
Ni1 0.250 0.250 0.750 1
# E ... -14.4 eV/f.u.
# Density of states at the Fermi level ... 0.537 states/eV/atom



# CaLa2MgOs, relaxed, DFT GGA-PBE
data_CaLa2MgOs
_cell_length_a 5.543
_cell_length_b 5.543
_cell_length_c 5.419
_cell_angle_alpha 90.00
_cell_angle_beta 90.00
_cell_angle_gamma 90.00
_space_group_name_H-M_alt 'P 4/m m m'
_space_group_IT_number 123
_space_group_name_Hall '-P 4 2'
loop_
_atom_site_label
_atom_site_fract_x
_atom_site_fract_y
_atom_site_fract_z
_atom_site_occupancy
Ca1 0.000 0.000 0.000 1
La1 0.000 0.500 0.500 1
Mg1 0.500 0.500 0.000 1
Os1 0.500 0.500 0.500 1
# ΔE to the lowest computed polymorph ... 0.0 meV per atom
# Density of states at the Fermi level ... 1.038 states/eV/atom



# CaLa2MgOs, relaxed, DFT GGA-PBE
data_CaLa2MgOs
_cell_length_a 5.515
_cell_length_b 5.515
_cell_length_c 5.759
_cell_angle_alpha 90.00
_cell_angle_beta 90.00
_cell_angle_gamma 90.00
_space_group_name_H-M_alt 'P 4/m m m'
_space_group_IT_number 123
_space_group_name_Hall '-P 4 2'
loop_
_atom_site_label
_atom_site_fract_x
_atom_site_fract_y
_atom_site_fract_z
_atom_site_occupancy
Ca1 0.000 0.000 0.000 1
La1 0.000 0.500 0.500 1
Mg1 0.500 0.500 0.000 1
Os1 0.000 0.000 0.500 1
# ΔE to the lowest computed polymorph ... 10.1 meV per atom
# Density of states at the Fermi level ... 0.812 states/eV/atom



# Ca2LaMgP, relaxed, DFT GGA-PBE
data_Ca2LaMgP
_cell_length_a 5.501
_cell_length_b 5.501
_cell_length_c 5.759
_cell_angle_alpha 90.00
_cell_angle_beta 90.00
_cell_angle_gamma 90.00
_space_group_name_H-M_alt 'P 4/m m m'
_space_group_IT_number 123
_space_group_name_Hall '-P 4 2'
loop_
_atom_site_label
_atom_site_fract_x
_atom_site_fract_y
_atom_site_fract_z
_atom_site_occupancy
Ca1 0.000 0.500 0.000 1
La1 0.000 0.000 0.500 1
Mg1 0.500 0.500 0.500 1
P1 0.000 0.000 0.000 1
# E ... -18.3 eV/f.u.
# Density of states at the Fermi level ... 1.155 states/eV/atom



# CaLaMgPb, relaxed, DFT GGA-PBE
data_CaLaMgPb
_cell_length_a 7.888
_cell_length_b 7.888
_cell_length_c 7.888
_cell_angle_alpha 90.00
_cell_angle_beta 90.00
_cell_angle_gamma 90.00
_space_group_name_H-M_alt 'F -4 3 m'
_space_group_IT_number 216
_space_group_name_Hall 'F -4 2 3'
loop_
_atom_site_label
_atom_site_fract_x
_atom_site_fract_y
_atom_site_fract_z
_atom_site_occupancy
Ca1 0.000 0.000 0.000 1
La1 0.000 0.000 0.500 1
Mg1 0.250 0.250 0.250 1
Pb1 0.250 0.250 0.750 1
# E ... -13.7 eV/f.u.
# Density of states at the Fermi level ... 0.888 states/eV/atom



# Ca2LaMgPd, relaxed, DFT GGA-PBE
data_Ca2LaMgPd
_cell_length_a 5.482
_cell_length_b 5.482
_cell_length_c 5.307
_cell_angle_alpha 90.00
_cell_angle_beta 90.00
_cell_angle_gamma 90.00
_space_group_name_H-M_alt 'P 4/m m m'
_space_group_IT_number 123
_space_group_name_Hall '-P 4 2'
loop_
_atom_site_label
_atom_site_fract_x
_atom_site_fract_y
_atom_site_fract_z
_atom_site_occupancy
Ca1 0.000 0.500 0.000 1
La1 0.000 0.000 0.500 1
Mg1 0.500 0.500 0.500 1
Pd1 0.500 0.500 0.000 1
# ΔE to the lowest computed polymorph ... 56.1 meV per atom
# Density of states at the Fermi level ... 0.854 states/eV/atom



# Ca2LaMgPd, relaxed, DFT GGA-PBE
data_Ca2LaMgPd
_cell_length_a 5.638
_cell_length_b 5.638
_cell_length_c 5.589
_cell_angle_alpha 90.00
_cell_angle_beta 90.00
_cell_angle_gamma 90.00
_space_group_name_H-M_alt 'P 4/m m m'
_space_group_IT_number 123
_space_group_name_Hall '-P 4 2'
loop_
_atom_site_label
_atom_site_fract_x
_atom_site_fract_y
_atom_site_fract_z
_atom_site_occupancy
Ca1 0.000 0.500 0.000 1
La1 0.000 0.000 0.500 1
Mg1 0.500 0.500 0.500 1
Pd1 0.000 0.000 0.000 1
# ΔE to the lowest computed polymorph ... 0.0 meV per atom
# Density of states at the Fermi level ... 0.876 states/eV/atom



# CaLaPrMg, relaxed, DFT GGA-PBE
data_CaLaPrMg
_cell_length_a 8.168
_cell_length_b 8.168
_cell_length_c 8.168
_cell_angle_alpha 90.00
_cell_angle_beta 90.00
_cell_angle_gamma 90.00
_space_group_name_H-M_alt 'F -4 3 m'
_space_group_IT_number 216
_space_group_name_Hall 'F -4 2 3'
loop_
_atom_site_label
_atom_site_fract_x
_atom_site_fract_y
_atom_site_fract_z
_atom_site_occupancy
Ca1 0.000 0.000 0.000 1
La1 0.250 0.250 0.250 1
Pr1 0.250 0.250 0.750 1
Mg1 0.000 0.000 0.500 1
# ΔE to the lowest computed polymorph ... 36.5 meV per atom
# Density of states at the Fermi level ... 1.073 states/eV/atom



# CaLaPrMg, relaxed, DFT GGA-PBE
data_CaLaPrMg
_cell_length_a 3.738
_cell_length_b 3.738
_cell_length_c 9.905
_cell_angle_alpha 90.00
_cell_angle_beta 90.00
_cell_angle_gamma 90.00
_space_group_name_H-M_alt 'P 4 m m'
_space_group_IT_number 99
loop_
_space_group_symop_operation_xyz
'x,y,z'
'-y,x,z'
'-x,-y,z'
'y,-x,z'
'-x,y,z'
'y,x,z'
'x,-y,z'
'-y,-x,z'
loop_
_atom_site_label
_atom_site_fract_x
_atom_site_fract_y
_atom_site_fract_z
_atom_site_occupancy
Ca1 0.000 0.000 0.000 1
La1 0.000 0.000 0.455 1
Pr1 0.500 0.500 0.713 1
Mg1 0.500 0.500 0.225 1
# ΔE to the lowest computed polymorph ... 0.0 meV per atom
# Density of states at the Fermi level ... 1.352 states/eV/atom



- What is the formula in the ninth record?
  Ca2LaMgPd



Please write out number 8 again, unchanged.
# CaLaMgPb, relaxed, DFT GGA-PBE
data_CaLaMgPb
_cell_length_a 7.888
_cell_length_b 7.888
_cell_length_c 7.888
_cell_angle_alpha 90.00
_cell_angle_beta 90.00
_cell_angle_gamma 90.00
_space_group_name_H-M_alt 'F -4 3 m'
_space_group_IT_number 216
_space_group_name_Hall 'F -4 2 3'
loop_
_atom_site_label
_atom_site_fract_x
_atom_site_fract_y
_atom_site_fract_z
_atom_site_occupancy
Ca1 0.000 0.000 0.000 1
La1 0.000 0.000 0.500 1
Mg1 0.250 0.250 0.250 1
Pb1 0.250 0.250 0.750 1
# E ... -13.7 eV/f.u.
# Density of states at the Fermi level ... 0.888 states/eV/atom